1.
A plane-wave DFT calculation with GGA-PBE was carried out for an optimized crystal structure of ZrNi2Pb.

Results
Space group: F-43m (216)
Formation enthalpy at 0 K (eV per formula unit): 0.26
Magnetic moment (μB per cell): 0.0

Unit cell a=4.5896 b=4.5896 c=4.5896 alpha=60.00 beta=60.00 gamma=60.00
Fractional coordinates of all 4 atoms:
Ni 0.0000 0.0000 0.0000
Zr 0.2500 0.2500 0.2500
Ni 0.7500 0.7500 0.7500
Pb 0.5000 0.5000 0.5000

2.
A plane-wave DFT calculation with GGA-PBE was carried out for an optimized crystal structure of Mg4TlIn.

Results
Space group: C2/m (12)
Formation enthalpy at 0 K (eV per formula unit): 0.06
Distance to the lowest polymorph of the same formula (meV/atom): 65.0
Magnetic moment (μB per cell): 0.0

Unit cell a=4.8291 b=4.8331 c=8.4031 alpha=72.91 beta=73.30 gamma=60.03
Fractional coordinates of all 6 atoms:
Mg 0.8744 0.8781 0.3732
Mg 0.6269 0.6225 0.1237
Tl 0.5000 0.5000 0.5000
In 0.0000 0.0000 0.0000
Mg 0.3731 0.3775 0.8763
Mg 0.1256 0.1219 0.6268